1.
## SrCr2Fe (PBE)

Data for a geometry-optimized SrCr2Fe structure.

V in A^3/atom: 19.05
Total DFT energy (no corrections) in eV per atom: -6.41
E above lowest polymorph in kJ per mole of atoms: 36.95
Formation energy in eV/atom: 0.9392
Fermi-level density of states in states/eV/f.u.: 4.8

Geometry as POSCAR:
```
SrCr2Fe
1.0
-4.395 0.949 -1.550
1.195 -1.601 -4.316
0.621 -2.775 3.812
Cr Fe Sr
2 1 1
Cartesian
0.000 0.000 0.000
0.108 -2.351 -1.719
-1.600 -0.326 -2.933
-2.687 -1.076 -0.336
```

---

2.
## SrCrFe2 (PBE)

Data for a geometry-optimized SrCrFe2 structure.

V in A^3/atom: 18.60
Total DFT energy (no corrections) in eV per atom: -6.00
E above lowest polymorph in kJ per mole of atoms: 58.31
Formation energy in eV/atom: 1.0530
Fermi-level density of states in states/eV/f.u.: 4.4

Geometry as POSCAR:
```
SrCrFe2
1.0
4.151 0.000 0.000
0.000 4.152 0.000
0.000 0.000 4.317
Cr Fe Sr
1 2 1
Cartesian
0.000 2.076 2.158
0.000 0.000 0.000
2.076 2.076 0.000
2.076 0.000 2.158
```

---

3.
## SrCr3Fe (PBE)

Data for a geometry-optimized SrCr3Fe structure.

V in A^3/atom: 19.76
Total DFT energy (no corrections) in eV per atom: -6.90
E above lowest polymorph in kJ per mole of atoms: 0.00
Formation energy in eV/atom: 0.8989
Fermi-level density of states in states/eV/f.u.: 7.4

Geometry as POSCAR:
```
SrCr3Fe
1.0
-1.379 0.180 -4.409
2.090 -4.042 -0.819
-3.886 -2.237 1.124
Sr Fe Cr
1 1 3
Cartesian
-1.588 -3.049 -2.052
0.000 0.000 0.000
1.045 -2.021 -0.409
-1.943 -1.119 0.562
-0.690 0.090 -2.204
```

---

4.
## SrCrFe2 (PBE)

Data for a geometry-optimized SrCrFe2 structure.

V in A^3/atom: 20.26
Total DFT energy (no corrections) in eV per atom: -6.10
E above lowest polymorph in kJ per mole of atoms: 48.83
Formation energy in eV/atom: 0.9547
Fermi-level density of states in states/eV/f.u.: 6.0

Geometry as POSCAR:
```
SrCrFe2
1.0
-0.174 -4.686 -0.487
3.448 0.205 -3.208
6.604 -2.975 3.444
Sr Fe Cr
2 4 2
Cartesian
0.000 0.000 0.000
4.033 -4.950 0.555
2.017 -2.475 0.277
3.741 -2.372 -1.326
7.043 -3.860 0.396
6.956 -6.203 0.152
1.637 -2.240 -1.847
5.845 -2.505 -0.805
```

---

5.
## SrCrFe4 (PBE)

Data for a geometry-optimized SrCrFe4 structure.

V in A^3/atom: 15.72
Total DFT energy (no corrections) in eV per atom: -6.88
Formation energy in eV/atom: 0.6490
Fermi-level density of states in states/eV/f.u.: 12.5

Geometry as POSCAR:
```
SrCrFe4
1.0
-1.143 -4.249 -2.597
-2.117 -3.976 2.411
-4.883 -1.219 -0.884
Sr Cr Fe
1 1 4
Cartesian
-6.107 -7.084 -0.802
0.000 0.000 0.000
-3.616 -5.686 -1.724
-5.524 -4.140 -0.849
-4.113 -5.547 0.832
-3.033 -3.518 -0.398
```

---

6.
## SrCrFe3 (PBE)

Data for a geometry-optimized SrCrFe3 structure.

V in A^3/atom: 17.94
Total DFT energy (no corrections) in eV per atom: -6.49
E above lowest polymorph in kJ per mole of atoms: 0.00
Formation energy in eV/atom: 0.8494
Fermi-level density of states in states/eV/f.u.: 5.9

Geometry as POSCAR:
```
SrCrFe3
1.0
-1.237 3.558 -2.419
-1.890 -2.710 -3.020
-3.865 0.186 2.251
Sr Fe Cr
1 3 1
Cartesian
-3.496 0.517 -1.594
-0.945 -1.355 -1.510
-1.932 0.093 1.126
-0.619 1.779 -1.209
0.000 0.000 0.000
```